# ThInP2Rh5

A geometry-optimized ThInP2Rh5 structure (PBE-GGA, the Alexandria database).

The structure belongs to space group P4/mmm (No. 123); the cell edges are 4.116, 4.116 and 8.646 Å and the angles 90.00°, 90.00° and 90.00°. The inequivalent atoms are Th at (0.000, 0.000, 0.000), In at (0.000, 0.000, 0.500), P at (0.500, 0.500, 0.144), Rh at (0.000, 0.500, 0.267) and Rh at (0.500, 0.500, 0.500).

For the volume, the calculation gives 146.46 Å³/f.u. As for the uncorrected energy: -7.25 eV/atom. The crystal system is tetragonal.